## VF5 (PBE with a Hubbard U)

Data for an optimized crystal structure of VF5.

```
VF5
1.0
4.426 -3.873 0.000
4.426 3.873 0.000
0.000 0.000 11.418
V F
4 20
Direct
0.167 0.833 0.916 V
0.333 0.667 0.416 V
0.667 0.333 0.584 V
0.833 0.167 0.084 V
0.013 0.987 0.801 F
0.068 0.623 0.359 F
0.123 0.568 0.859 F
0.135 0.135 0.000 F
0.215 0.785 0.549 F
0.285 0.715 0.049 F
0.365 0.365 0.500 F
0.377 0.932 0.359 F
0.432 0.877 0.859 F
0.487 0.513 0.301 F
0.513 0.487 0.699 F
0.568 0.123 0.141 F
0.623 0.068 0.641 F
0.635 0.635 0.500 F
0.715 0.285 0.951 F
0.785 0.215 0.451 F
0.865 0.865 0.000 F
0.877 0.432 0.141 F
0.932 0.377 0.641 F
0.987 0.013 0.199 F
```

The value obtained for the calculated total energy is -5.248 eV/atom. As for the volume: 391 Å³ per cell. The space group is No. 64.